# Na2Ge2S5 PBE optimized geometry
data_Na2Ge2S5
_symmetry_space_group_name_H-M 'P 1'
_symmetry_Int_Tables_number 1
_cell_length_a 9.224
_cell_length_b 9.224
_cell_length_c 10.695
_cell_angle_alpha 90.00
_cell_angle_beta 90.00
_cell_angle_gamma 90.99
loop_
_symmetry_equiv_pos_as_xyz
'x,y,z'
loop_
_atom_site_label
_atom_site_type_symbol
_atom_site_fract_x
_atom_site_fract_y
_atom_site_fract_z
Na1 Na 0.091 0.579 0.750
Na2 Na 0.147 0.147 0.000
Na3 Na 0.147 0.147 0.500
Na4 Na 0.421 0.909 0.750
Na5 Na 0.579 0.091 0.250
Na6 Na 0.853 0.853 0.000
Na7 Na 0.853 0.853 0.500
Na8 Na 0.909 0.421 0.250
Ge1 Ge 0.255 0.745 0.081
Ge2 Ge 0.255 0.745 0.419
Ge3 Ge 0.313 0.409 0.250
Ge4 Ge 0.409 0.313 0.750
Ge5 Ge 0.591 0.687 0.250
Ge6 Ge 0.687 0.591 0.750
Ge7 Ge 0.745 0.255 0.581
Ge8 Ge 0.745 0.255 0.919
S1 S 0.153 0.847 0.250
S2 S 0.158 0.842 0.583
S3 S 0.158 0.842 0.917
S4 S 0.178 0.272 0.750
S5 S 0.205 0.504 0.079
S6 S 0.205 0.504 0.421
S7 S 0.272 0.178 0.250
S8 S 0.447 0.553 0.750
S9 S 0.496 0.795 0.079
S10 S 0.496 0.795 0.421
S11 S 0.504 0.205 0.579
S12 S 0.504 0.205 0.921
S13 S 0.553 0.447 0.250
S14 S 0.728 0.822 0.750
S15 S 0.795 0.496 0.579
S16 S 0.795 0.496 0.921
S17 S 0.822 0.728 0.250
S18 S 0.842 0.158 0.083
S19 S 0.842 0.158 0.417
S20 S 0.847 0.153 0.750
# Total magnetization ... 0.00 μB/f.u.
# Symmetry ... Cmcm
# Raw total energy ... -4.295 eV per atom

***

# Tb3Pm6Dy PBE optimized geometry
data_Tb3Pm6Dy
_symmetry_space_group_name_H-M 'P 1'
_symmetry_Int_Tables_number 1
_cell_length_a 11.748
_cell_length_b 11.748
_cell_length_c 6.434
_cell_angle_alpha 90.00
_cell_angle_beta 90.00
_cell_angle_gamma 130.65
loop_
_symmetry_equiv_pos_as_xyz
'x,y,z'
loop_
_atom_site_label
_atom_site_type_symbol
_atom_site_fract_x
_atom_site_fract_y
_atom_site_fract_z
Tb1 Tb 0.079 0.921 0.500
Tb2 Tb 0.206 0.458 0.099
Tb3 Tb 0.458 0.206 0.599
Tb4 Tb 0.542 0.794 0.099
Tb5 Tb 0.794 0.542 0.599
Tb6 Tb 0.921 0.079 0.000
Pm1 Pm 0.044 0.606 0.265
Pm2 Pm 0.120 0.241 0.521
Pm3 Pm 0.199 0.801 0.792
Pm4 Pm 0.241 0.120 0.021
Pm5 Pm 0.394 0.956 0.265
Pm6 Pm 0.484 0.516 0.770
Pm7 Pm 0.516 0.484 0.270
Pm8 Pm 0.606 0.044 0.765
Pm9 Pm 0.759 0.880 0.521
Pm10 Pm 0.801 0.199 0.292
Pm11 Pm 0.880 0.759 0.021
Pm12 Pm 0.956 0.394 0.765
Dy1 Dy 0.341 0.659 0.574
Dy2 Dy 0.659 0.341 0.074
# Total magnetization ... 0.00 μB/f.u.
# ΔH_f (0 K) ... 123 meV/atom
# Symmetry ... Cmc2_1
# Raw total energy ... -4.576 eV per atom

***

# Pr4Nd4Mg PBE optimized geometry
data_Pr4Nd4Mg
_symmetry_space_group_name_H-M 'P 1'
_symmetry_Int_Tables_number 1
_cell_length_a 8.851
_cell_length_b 8.851
_cell_length_c 11.961
_cell_angle_alpha 90.00
_cell_angle_beta 90.00
_cell_angle_gamma 43.74
loop_
_symmetry_equiv_pos_as_xyz
'x,y,z'
loop_
_atom_site_label
_atom_site_type_symbol
_atom_site_fract_x
_atom_site_fract_y
_atom_site_fract_z
Pr1 Pr 0.039 0.158 0.250
Pr2 Pr 0.158 0.039 0.750
Pr3 Pr 0.218 0.218 0.000
Pr4 Pr 0.218 0.218 0.500
Pr5 Pr 0.782 0.782 0.000
Pr6 Pr 0.782 0.782 0.500
Pr7 Pr 0.842 0.961 0.250
Pr8 Pr 0.961 0.842 0.750
Nd1 Nd 0.216 0.406 0.250
Nd2 Nd 0.254 0.746 0.015
Nd3 Nd 0.254 0.746 0.485
Nd4 Nd 0.406 0.216 0.750
Nd5 Nd 0.594 0.784 0.250
Nd6 Nd 0.746 0.254 0.515
Nd7 Nd 0.746 0.254 0.985
Nd8 Nd 0.784 0.594 0.750
Mg1 Mg 0.489 0.511 0.250
Mg2 Mg 0.511 0.489 0.750
# Total magnetization ... 0.00 μB/f.u.
# ΔH_f (0 K) ... 220 meV/atom
# Symmetry ... Cmcm
# Raw total energy ... -4.200 eV per atom

***

# Li7Mg4Tl PBE optimized geometry
data_Li7Mg4Tl
_symmetry_space_group_name_H-M 'P 1'
_symmetry_Int_Tables_number 1
_cell_length_a 7.834
_cell_length_b 7.834
_cell_length_c 7.603
_cell_angle_alpha 116.26
_cell_angle_beta 116.26
_cell_angle_gamma 37.82
loop_
_symmetry_equiv_pos_as_xyz
'x,y,z'
loop_
_atom_site_label
_atom_site_type_symbol
_atom_site_fract_x
_atom_site_fract_y
_atom_site_fract_z
Li1 Li 0.000 0.000 0.000
Li2 Li 0.286 0.286 0.159
Li3 Li 0.298 0.298 0.808
Li4 Li 0.428 0.428 0.582
Li5 Li 0.572 0.572 0.418
Li6 Li 0.702 0.702 0.192
Li7 Li 0.714 0.714 0.841
Mg1 Mg 0.081 0.081 0.722
Mg2 Mg 0.170 0.170 0.398
Mg3 Mg 0.830 0.830 0.602
Mg4 Mg 0.919 0.919 0.278
Tl1 Tl 0.500 0.500 0.000
# Total magnetization ... 0.00 μB/f.u.
# ΔH_f (0 K) ... -4 meV/atom
# Symmetry ... C2/m
# Raw total energy ... -1.849 eV per atom

***

Copy entry 4 word for word.
# Li7Mg4Tl PBE optimized geometry
data_Li7Mg4Tl
_symmetry_space_group_name_H-M 'P 1'
_symmetry_Int_Tables_number 1
_cell_length_a 7.834
_cell_length_b 7.834
_cell_length_c 7.603
_cell_angle_alpha 116.26
_cell_angle_beta 116.26
_cell_angle_gamma 37.82
loop_
_symmetry_equiv_pos_as_xyz
'x,y,z'
loop_
_atom_site_label
_atom_site_type_symbol
_atom_site_fract_x
_atom_site_fract_y
_atom_site_fract_z
Li1 Li 0.000 0.000 0.000
Li2 Li 0.286 0.286 0.159
Li3 Li 0.298 0.298 0.808
Li4 Li 0.428 0.428 0.582
Li5 Li 0.572 0.572 0.418
Li6 Li 0.702 0.702 0.192
Li7 Li 0.714 0.714 0.841
Mg1 Mg 0.081 0.081 0.722
Mg2 Mg 0.170 0.170 0.398
Mg3 Mg 0.830 0.830 0.602
Mg4 Mg 0.919 0.919 0.278
Tl1 Tl 0.500 0.500 0.000
# Total magnetization ... 0.00 μB/f.u.
# ΔH_f (0 K) ... -4 meV/atom
# Symmetry ... C2/m
# Raw total energy ... -1.849 eV per atom

***

Question: raw total energy of number 3 (Pr4Nd4Mg)?
Answer: -4.200 eV per atom

***

Question: What is the formula in the first record?
Answer: Na2Ge2S5